{"formula": "Na2SnPbBr6", "functional": "PBE", "state": "optimized geometry", "cell": [[3.8127, 2.2013, 6.8169], [-3.8127, 2.2013, 6.8169], [0.0000, -4.4026, 6.8169]], "species": ["Na", "Na", "Sn", "Pb", "Br", "Br", "Br", "Br", "Br", "Br"], "fractional_positions": [[0.0000, 0.0000, 0.0000], [0.4977, 0.4977, 0.4977], [0.6918, 0.6918, 0.6918], [0.1934, 0.1934, 0.1934], [0.1022, 0.4005, 0.7923], [0.2968, 0.8946, 0.6073], [0.4005, 0.7923, 0.1022], [0.6073, 0.2968, 0.8946], [0.7923, 0.1022, 0.4005], [0.8946, 0.6073, 0.2968]], "e_form_raw_ev_per_atom": -1.13, "magmom_total_mub_per_fu": 0.000, "dos_ef_per_ev_cell": 0.0}